The following is a DFT calculation (PBE) of a relaxed CsTl2In10 crystal.

Calculated values
As for the calculated formation energy: -0.006 eV per atom. Its energy is -2.542 eV/atom.

Cell: 11.018 8.588 8.321 Å, 81.31 50.40 48.29°
Positions (direct):
Cs (0.000, 0.000, 0.000)
Tl (0.000, 0.000, 0.500)
Tl (0.500, 0.500, 0.000)
In (0.000, 0.500, 0.000)
In (0.004, 0.360, 0.640)
In (0.278, 0.494, 0.506)
In (0.360, 0.004, 0.996)
In (0.494, 0.278, 0.722)
In (0.500, 0.000, 0.500)
In (0.506, 0.722, 0.278)
In (0.640, 0.996, 0.004)
In (0.722, 0.506, 0.494)
In (0.996, 0.640, 0.360)

The following is a DFT calculation (PBE) of a relaxed ZnAgRu3 crystal.

Calculated values
Its polymorph energy (0 for the lowest one) is 658 meV per atom. As for the calculated formation energy: 2.268 eV per atom. Its energy is -4.123 eV/atom.

Cell: 4.832 4.832 4.832 Å, 90.00 90.00 90.00°
Positions (direct):
Zn (0.000, 0.000, 0.000)
Ag (0.500, 0.500, 0.500)
Ru (0.000, 0.500, 0.500)
Ru (0.500, 0.000, 0.500)
Ru (0.500, 0.500, 0.000)

The following is a DFT calculation (PBE) of a relaxed CaNi2Te crystal.

Calculated values
The value obtained for the uncorrected formation energy is -1.38 eV/f.u. Its energy is -4.521 eV/atom.

Cell: 5.501 5.501 5.501 Å, 46.32 46.32 46.32°
Positions (direct):
Ca (0.000, 0.000, 0.000)
Ni (0.195, 0.195, 0.195)
Ni (0.805, 0.805, 0.805)
Te (0.500, 0.500, 0.500)

The following is a DFT calculation (PBE) of a relaxed ScCr2Pt crystal.

Calculated values
As for the calculated formation energy: -0.250 eV per atom. Its energy is -8.154 eV/atom.

Cell: 4.619 4.619 4.619 Å, 125.71 124.42 81.43°
Positions (direct):
Sc (0.000, 0.000, 0.000)
Cr (0.503, 0.503, 0.000)
Cr (0.748, 0.248, 0.500)
Pt (0.251, 0.751, 0.500)

The following is a DFT calculation (PBE) of a relaxed Pr4DyTm2 crystal.

Calculated values
Its polymorph energy (0 for the lowest one) is 191 meV per atom. As for the calculated formation energy: 0.254 eV per atom. Its energy is -4.412 eV/atom.

Cell: 9.043 9.043 9.043 Å, 134.99 101.16 95.71°
Positions (direct):
Pr (0.154, 0.151, 0.003)
Pr (0.240, 0.212, 0.471)
Pr (0.240, 0.769, 0.029)
Pr (0.352, 0.849, 0.503)
Pr (0.648, 0.151, 0.497)
Pr (0.760, 0.231, 0.971)
Pr (0.760, 0.788, 0.529)
Pr (0.846, 0.849, 0.997)
Dy (0.500, 0.000, 0.000)
Dy (0.500, 0.500, 0.500)
Tm (0.000, 0.500, 0.500)
Tm (0.033, 0.283, 0.750)
Tm (0.500, 0.500, 0.000)
Tm (0.967, 0.717, 0.250)

The following is a DFT calculation (PBE) of a relaxed ThCoBi crystal.

Calculated values
As for the calculated formation energy: -0.340 eV per atom. Its energy is -6.476 eV/atom.

Cell: 8.504 8.504 8.504 Å, 31.23 31.23 31.23°
Positions (direct):
Th (0.248, 0.248, 0.248)
Th (0.752, 0.752, 0.752)
Co (0.366, 0.366, 0.366)
Co (0.634, 0.634, 0.634)
Bi (0.000, 0.000, 0.000)
Bi (0.500, 0.500, 0.500)

The following is a DFT calculation (PBE) of a relaxed InTc2C2 crystal.

Calculated values
Its polymorph energy (0 for the lowest one) is 455 meV per atom. As for the calculated formation energy: 1.185 eV per atom. Its energy is -7.199 eV/atom.

Cell: 6.771 6.771 2.798 Å, 90.00 90.00 90.00°
Positions (direct):
In (0.000, 0.000, 0.000)
In (0.500, 0.500, 0.000)
Tc (0.134, 0.366, 0.000)
Tc (0.366, 0.866, 0.000)
Tc (0.634, 0.134, 0.000)
Tc (0.866, 0.634, 0.000)
C (0.121, 0.621, 0.500)
C (0.379, 0.121, 0.500)
C (0.621, 0.879, 0.500)
C (0.879, 0.379, 0.500)

The following is a DFT calculation (PBE) of a relaxed PrDyTeI crystal.

Calculated values
The value obtained for the uncorrected formation energy is -4.10 eV/f.u. Its energy is -4.544 eV/atom.

Cell: 5.435 5.435 5.435 Å, 60.00 60.00 60.00°
Positions (direct):
Pr (0.000, 0.000, 0.000)
Dy (0.500, 0.500, 0.500)
Te (0.250, 0.250, 0.250)
I (0.750, 0.750, 0.750)

The following is a DFT calculation (PBE) of a relaxed Dy2AlSi3Rh4 crystal.

Calculated values
The value obtained for the uncorrected formation energy is -10.52 eV/f.u. Its energy is -6.915 eV/atom.

Cell: 4.115 4.115 9.963 Å, 90.00 90.00 90.00°
Positions (direct):
Dy (0.000, 0.500, 0.250)
Dy (0.500, 0.000, 0.750)
Al (0.000, 0.000, 0.500)
Si (0.000, 0.500, 0.872)
Si (0.500, 0.000, 0.128)
Si (0.500, 0.500, 0.500)
Rh (0.000, 0.000, 0.000)
Rh (0.000, 0.500, 0.636)
Rh (0.500, 0.000, 0.364)
Rh (0.500, 0.500, 0.000)

The following is a DFT calculation (PBE) of a relaxed PmPrSc2Se4 crystal.

Calculated values
The value obtained for the uncorrected formation energy is -13.63 eV/f.u. Its energy is -6.220 eV/atom.

Cell: 6.936 3.982 7.196 Å, 90.00 108.61 90.00°
Positions (direct):
Pm (0.000, 0.000, 0.000)
Pr (0.500, 0.500, 0.000)
Sc (0.000, 0.500, 0.500)
Sc (0.500, 0.000, 0.500)
Se (0.237, 0.000, 0.720)
Se (0.257, 0.500, 0.279)
Se (0.743, 0.500, 0.721)
Se (0.763, 0.000, 0.280)

The following is a DFT calculation (PBE) of a relaxed ZrNbIr2Os crystal.

Calculated values
As for the calculated formation energy: 1.275 eV per atom. Its energy is -8.239 eV/atom.

Cell: 4.717 4.717 4.899 Å, 90.00 90.00 90.00°
Positions (direct):
Zr (0.000, 0.000, 0.000)
Nb (0.500, 0.500, 0.000)
Ir (0.000, 0.500, 0.500)
Ir (0.500, 0.000, 0.500)
Os (0.000, 0.000, 0.500)

The following is a DFT calculation (PBE) of a relaxed Mg14CuMo crystal.

Calculated values
Its polymorph energy (0 for the lowest one) is 0 meV per atom. As for the calculated formation energy: 0.100 eV per atom. Its energy is -2.229 eV/atom.

Cell: 6.215 6.215 9.905 Å, 90.00 90.00 120.00°
Positions (direct):
Mg (0.000, 0.000, 0.248)
Mg (0.000, 0.000, 0.752)
Mg (0.017, 0.508, 0.249)
Mg (0.017, 0.508, 0.751)
Mg (0.333, 0.166, 0.500)
Mg (0.336, 0.168, 0.000)
Mg (0.492, 0.508, 0.249)
Mg (0.492, 0.508, 0.751)
Mg (0.492, 0.983, 0.249)
Mg (0.492, 0.983, 0.751)
Mg (0.832, 0.168, 0.000)
Mg (0.832, 0.664, 0.000)
Mg (0.834, 0.166, 0.500)
Mg (0.834, 0.667, 0.500)
Cu (0.333, 0.667, 0.500)
Mo (0.333, 0.667, 0.000)

energy of number 10 (PmPrSc2Se4)?
-6.220 eV/atom

Copy entry 1 word for word.
The following is a DFT calculation (PBE) of a relaxed CsTl2In10 crystal.

Calculated values
As for the calculated formation energy: -0.006 eV per atom. Its energy is -2.542 eV/atom.

Cell: 11.018 8.588 8.321 Å, 81.31 50.40 48.29°
Positions (direct):
Cs (0.000, 0.000, 0.000)
Tl (0.000, 0.000, 0.500)
Tl (0.500, 0.500, 0.000)
In (0.000, 0.500, 0.000)
In (0.004, 0.360, 0.640)
In (0.278, 0.494, 0.506)
In (0.360, 0.004, 0.996)
In (0.494, 0.278, 0.722)
In (0.500, 0.000, 0.500)
In (0.506, 0.722, 0.278)
In (0.640, 0.996, 0.004)
In (0.722, 0.506, 0.494)
In (0.996, 0.640, 0.360)

What is the formula in the tenth record?
PmPrSc2Se4

What is the energy in the third record?
-4.521 eV/atom